No. 1
The following is a DFT calculation (GGA-PBE) of an optimized crystal structure of Y3UCo3.

## Properties
Energy of formation = -0.177 eV/atom
Fermi-level density of states = 7.7 states/eV/f.u.

a = 6.575 Å, b = 6.575 Å, c = 14.128 Å
α = 113.61°, β = 113.61°, γ = 32.04°
Atoms (fractional coordinates):
Y1 0.038 0.038 0.298
Y2 0.166 0.166 0.581
Y3 0.362 0.362 0.865
Y4 0.638 0.638 0.135
Y5 0.834 0.834 0.419
Y6 0.962 0.962 0.702
U1 0.336 0.336 0.093
U2 0.664 0.664 0.907
Co1 0.062 0.062 0.949
Co2 0.339 0.339 0.250
Co3 0.485 0.485 0.572
Co4 0.515 0.515 0.428
Co5 0.661 0.661 0.750
Co6 0.938 0.938 0.051


No. 2
The following is a DFT calculation (GGA-PBE) of an optimized crystal structure of CuMo2Pt.

## Properties
Energy of formation = -0.011 eV/atom
Fermi-level density of states = 2.6 states/eV/f.u.

a = 2.687 Å, b = 3.966 Å, c = 5.606 Å
α = 90.00°, β = 90.00°, γ = 90.00°
Atoms (fractional coordinates):
Cu1 0.000 0.000 0.000
Mo1 0.000 0.000 0.503
Mo2 0.500 0.500 0.239
Pt1 0.500 0.500 0.764


No. 3
The following is a DFT calculation (GGA-PBE) of an optimized crystal structure of Ba2LiTcPt.

## Properties
Energy of formation = 0.337 eV/atom
Fermi-level density of states = 5.0 states/eV/f.u.

a = 6.247 Å, b = 6.247 Å, c = 4.929 Å
α = 90.00°, β = 90.00°, γ = 90.00°
Atoms (fractional coordinates):
Ba1 0.000 0.500 0.000
Ba2 0.500 0.000 0.000
Li1 0.000 0.000 0.500
Tc1 0.500 0.500 0.500
Pt1 0.500 0.500 0.000


No. 4
The following is a DFT calculation (GGA-PBE) of an optimized crystal structure of SrBeAg2F6.

## Properties
ΔE_f (raw) = -2306 kJ/mol of formula units
Fermi-level density of states = 0.0 states/eV/f.u.

a = 5.723 Å, b = 5.726 Å, c = 5.731 Å
α = 61.00°, β = 60.98°, γ = 61.00°
Atoms (fractional coordinates):
Sr1 0.000 0.000 0.000
Be1 0.500 0.500 0.500
Ag1 0.258 0.258 0.259
Ag2 0.742 0.742 0.741
F1 0.195 0.385 0.695
F2 0.301 0.805 0.616
F3 0.386 0.698 0.194
F4 0.614 0.302 0.806
F5 0.699 0.195 0.384
F6 0.805 0.615 0.305


No. 5
The following is a DFT calculation (GGA-PBE) of an optimized crystal structure of MgFe2Ru.

## Properties
Energy of formation = 0.301 eV/atom
Fermi-level density of states = 4.3 states/eV/f.u.

a = 2.643 Å, b = 2.643 Å, c = 8.532 Å
α = 90.00°, β = 90.00°, γ = 109.62°
Atoms (fractional coordinates):
Mg1 0.000 0.000 0.000
Fe1 0.500 0.500 0.262
Fe2 0.500 0.500 0.738
Ru1 0.000 0.000 0.500


No. 6
The following is a DFT calculation (GGA-PBE) of an optimized crystal structure of Re2Si2Ir.

## Properties
ΔE_f (raw) = 22 kJ/mol of formula units
Fermi-level density of states = 4.6 states/eV/f.u.

a = 6.994 Å, b = 6.994 Å, c = 2.854 Å
α = 90.00°, β = 90.00°, γ = 90.00°
Atoms (fractional coordinates):
Re1 0.155 0.345 0.000
Re2 0.345 0.845 0.000
Re3 0.655 0.155 0.000
Re4 0.845 0.655 0.000
Si1 0.143 0.643 0.500
Si2 0.357 0.143 0.500
Si3 0.643 0.857 0.500
Si4 0.857 0.357 0.500
Ir1 0.000 0.000 0.500
Ir2 0.500 0.500 0.500


Which formula does entry 5 have? MgFe2Ru